Record 1
An optimized crystal structure of TlSbTe2Pt, computed with PBE-GGA.

Unit cell a=5.655 b=5.655 c=5.597 alpha=90.00 beta=90.00 gamma=90.00
Fractional coordinates of all 5 atoms:
Pt: 0.500 0.500 0.500
Tl: 0.000 0.000 0.000
Te: 0.000 0.500 0.000
Te: 0.500 0.000 0.000
Sb: 0.000 0.000 0.500

## Properties
**Size of the total moment**: 0.0 μB per formula unit
**E above lowest polymorph**: 28.29 kcal/mol of atoms
**ΔE_f (raw)**: 1.35 eV per atom
**DOS(E_F)**: 8.33 states/eV/cell
**Final energy**: -12.04 eV/cell

***

Record 2
An optimized crystal structure of MnFeCoAs, computed with PBE-GGA.

Unit cell a=4.053 b=4.053 c=4.053 alpha=60.00 beta=60.00 gamma=60.00
Fractional coordinates of all 4 atoms:
Fe: 0.750 0.750 0.750
Mn: 0.000 0.000 0.000
As: 0.250 0.250 0.250
Co: 0.500 0.500 0.500

## Properties
**Size of the total moment**: 4.9 μB per formula unit
**DOS(E_F)**: 2.84 states/eV/cell
**Energy relative to the elements**: 0.003 eV per atom
**Final energy**: -29.38 eV/cell

***

Record 3
An optimized crystal structure of AcGe4Sb, computed with PBE-GGA.

Unit cell a=5.828 b=5.828 c=5.828 alpha=60.00 beta=60.00 gamma=60.00
Fractional coordinates of all 6 atoms:
Ge: 0.623 0.623 0.130
Ge: 0.623 0.130 0.623
Ge: 0.130 0.623 0.623
Ge: 0.623 0.623 0.623
Sb: 0.250 0.250 0.250
Ac: 0.000 0.000 0.000

## Properties
**Size of the total moment**: 0.0 μB per formula unit
**ΔE_f (raw)**: -0.16 eV per atom
**DOS(E_F)**: 3.59 states/eV/cell
**Final energy**: -27.64 eV/cell